(1)
Here is a relaxed structure of KEuCdIn from the Alexandria database. Energies are from PBE.

a = 5.729 Å, b = 5.729 Å, c = 5.729 Å
α = 60.00°, β = 60.00°, γ = 60.00°
Atoms (fractional coordinates):
K (0.000, 0.000, 0.000)
Eu (0.500, 0.500, 0.500)
Cd (0.750, 0.750, 0.750)
In (0.250, 0.250, 0.250)

Calculated values
The formation energy is -10.4 kJ/mol of atoms. As for the space-group type: No. 216.



(2)
Here is a relaxed structure of Er8ScIn6 from the Alexandria database. Energies are from PBE.

a = 8.234 Å, b = 8.234 Å, c = 8.234 Å
α = 65.28°, β = 65.28°, γ = 65.28°
Atoms (fractional coordinates):
Er (0.049, 0.388, 0.723)
Er (0.166, 0.166, 0.166)
Er (0.277, 0.951, 0.612)
Er (0.388, 0.723, 0.049)
Er (0.612, 0.277, 0.951)
Er (0.723, 0.049, 0.388)
Er (0.834, 0.834, 0.834)
Er (0.951, 0.612, 0.277)
Sc (0.500, 0.500, 0.500)
In (0.116, 0.766, 0.441)
In (0.234, 0.559, 0.884)
In (0.441, 0.116, 0.766)
In (0.559, 0.884, 0.234)
In (0.766, 0.441, 0.116)
In (0.884, 0.234, 0.559)

Calculated values
The formation energy is -18.3 kJ/mol of atoms. As for the space-group type: No. 148.



(3)
Here is a relaxed structure of Na2InSn2Cl7 from the Alexandria database. Energies are from PBE.

a = 12.319 Å, b = 12.319 Å, c = 12.319 Å
α = 153.20°, β = 38.44°, γ = 152.95°
Atoms (fractional coordinates):
Na (0.247, 0.000, 0.247)
Na (0.753, 0.000, 0.753)
In (0.327, 0.327, 0.000)
Sn (0.138, 0.516, 0.621)
Sn (0.895, 0.516, 0.379)
Cl (0.105, 0.605, 0.500)
Cl (0.148, 0.029, 0.119)
Cl (0.240, 0.499, 0.742)
Cl (0.332, 0.965, 0.368)
Cl (0.597, 0.965, 0.632)
Cl (0.757, 0.499, 0.258)
Cl (0.910, 0.029, 0.881)

Calculated values
As for the space-group type: No. 44. The formation energy (no corrections) comes out at -1.227 eV per atom.



(4)
Here is a relaxed structure of ScURuRh from the Alexandria database. Energies are from PBE.

a = 4.694 Å, b = 4.694 Å, c = 4.694 Å
α = 60.00°, β = 60.00°, γ = 60.00°
Atoms (fractional coordinates):
Sc (0.000, 0.000, 0.000)
U (0.500, 0.500, 0.500)
Ru (0.750, 0.750, 0.750)
Rh (0.250, 0.250, 0.250)

Calculated values
The formation energy is -47.1 kJ/mol of atoms. As for the space-group type: No. 216.



(5)
Here is a relaxed structure of TaFeOs2 from the Alexandria database. Energies are from PBE.

a = 4.666 Å, b = 4.666 Å, c = 4.795 Å
α = 99.91°, β = 99.91°, γ = 34.60°
Atoms (fractional coordinates):
Ta (0.000, 0.000, 0.000)
Fe (0.500, 0.500, 0.500)
Os (0.243, 0.243, 0.726)
Os (0.757, 0.757, 0.274)

Calculated values
The formation energy is 1.6 kJ/mol of atoms. As for the space-group type: No. 12.



(6)
Here is a relaxed structure of Mn3Rh4 from the Alexandria database. Energies are from PBE.

a = 12.419 Å, b = 12.419 Å, c = 12.419 Å
α = 167.16°, β = 167.16°, γ = 18.20°
Atoms (fractional coordinates):
Mn (0.000, 0.000, 0.000)
Mn (0.283, 0.283, 0.000)
Mn (0.717, 0.717, 0.000)
Rh (0.151, 0.151, 0.000)
Rh (0.430, 0.430, 0.000)
Rh (0.570, 0.570, 0.000)
Rh (0.849, 0.849, 0.000)

Calculated values
The formation energy is -0.5 kJ/mol of atoms. As for the space-group type: No. 139.



(7)
Here is a relaxed structure of CuSb2Te from the Alexandria database. Energies are from PBE.

a = 3.690 Å, b = 5.046 Å, c = 5.211 Å
α = 90.00°, β = 90.00°, γ = 90.00°
Atoms (fractional coordinates):
Cu (0.000, 0.000, 0.000)
Sb (0.000, 0.500, 0.500)
Sb (0.500, 0.000, 0.500)
Te (0.500, 0.500, 0.000)

Calculated values
As for the space-group type: No. 47. The formation energy (no corrections) comes out at 0.392 eV per atom.



(8)
Here is a relaxed structure of Tb2Si2Tc2C from the Alexandria database. Energies are from PBE.

a = 5.864 Å, b = 5.864 Å, c = 6.984 Å
α = 125.45°, β = 125.45°, γ = 40.01°
Atoms (fractional coordinates):
Tb (0.069, 0.069, 0.298)
Tb (0.931, 0.931, 0.702)
Si (0.355, 0.355, 0.309)
Si (0.645, 0.645, 0.691)
Tc (0.294, 0.294, 0.906)
Tc (0.706, 0.706, 0.094)
C (0.500, 0.500, 0.000)

Calculated values
As for the space-group type: No. 12. The formation energy (no corrections) comes out at -0.684 eV per atom.



(9)
Here is a relaxed structure of V4TcPd2 from the Alexandria database. Energies are from PBE.

a = 7.099 Å, b = 7.099 Å, c = 7.099 Å
α = 142.91°, β = 142.91°, γ = 53.46°
Atoms (fractional coordinates):
V (0.000, 0.500, 0.500)
V (0.190, 0.190, 0.000)
V (0.500, 0.000, 0.500)
V (0.810, 0.810, 0.000)
Tc (0.000, 0.000, 0.000)
Pd (0.388, 0.388, 0.000)
Pd (0.612, 0.612, 0.000)

Calculated values
The formation energy is 75.5 kJ/mol of atoms. As for the space-group type: No. 139.



(10)
Here is a relaxed structure of Co2TcBr from the Alexandria database. Energies are from PBE.

a = 5.124 Å, b = 5.124 Å, c = 5.124 Å
α = 146.78°, β = 129.69°, γ = 61.62°
Atoms (fractional coordinates):
Co (0.000, 0.000, 0.000)
Co (0.750, 0.250, 0.500)
Tc (0.269, 0.769, 0.500)
Br (0.507, 0.507, 0.000)

Calculated values
As for the space-group type: No. 44. The formation energy (no corrections) comes out at 0.845 eV per atom.



What did the third record say?
Here is a relaxed structure of Na2InSn2Cl7 from the Alexandria database. Energies are from PBE.

a = 12.319 Å, b = 12.319 Å, c = 12.319 Å
α = 153.20°, β = 38.44°, γ = 152.95°
Atoms (fractional coordinates):
Na (0.247, 0.000, 0.247)
Na (0.753, 0.000, 0.753)
In (0.327, 0.327, 0.000)
Sn (0.138, 0.516, 0.621)
Sn (0.895, 0.516, 0.379)
Cl (0.105, 0.605, 0.500)
Cl (0.148, 0.029, 0.119)
Cl (0.240, 0.499, 0.742)
Cl (0.332, 0.965, 0.368)
Cl (0.597, 0.965, 0.632)
Cl (0.757, 0.499, 0.258)
Cl (0.910, 0.029, 0.881)

Calculated values
As for the space-group type: No. 44. The formation energy (no corrections) comes out at -1.227 eV per atom.